No. 1
Computed, not measured: a relaxed BaPa2TaN5 crystal at the PBE level of DFT.

## Properties
Crystal system: tetragonal
Raw formation energy, meV per atom: -1260
D(E_F), states/eV/atom: 0.65
Calculated volume, Å³ per cell: 548.56

Cell and atoms, written as CIF:
```
data_BaPa2TaN5
_cell_length_a 6.830
_cell_length_b 6.830
_cell_length_c 11.760
_cell_angle_alpha 90.00
_cell_angle_beta 90.00
_cell_angle_gamma 90.00
_symmetry_space_group_name_H-M 'I 4/m c m'
_symmetry_Int_Tables_number 140
_symmetry_space_group_name_Hall '-I 4 2c'
loop_
_atom_site_label
_atom_site_type_symbol
_atom_site_fract_x
_atom_site_fract_y
_atom_site_fract_z
Ba1 Ba 0.000 0.000 0.250
Pa1 Pa 0.180 0.320 0.000
Ta1 Ta 0.000 0.500 0.250
N1 N 0.000 0.000 0.000
N2 N 0.145 0.355 0.369
```

---

No. 2
Computed, not measured: a relaxed Ba3Pa3TaN8 crystal at the PBE level of DFT.

## Properties
Crystal system: trigonal
Raw formation energy, meV per atom: -1226
D(E_F), states/eV/atom: 0.41
Calculated volume, Å³ per cell: 825.95

Cell and atoms, written as CIF:
```
data_Ba3Pa3TaN8
_cell_length_a 7.0160
_cell_length_b 7.0160
_cell_length_c 19.3702
_cell_angle_alpha 90.00
_cell_angle_beta 90.00
_cell_angle_gamma 120.00
_symmetry_space_group_name_H-M 'R -3 m'
_symmetry_Int_Tables_number 166
_symmetry_space_group_name_Hall '-R 3 2"'
loop_
_atom_site_label
_atom_site_type_symbol
_atom_site_fract_x
_atom_site_fract_y
_atom_site_fract_z
Ba1 Ba 0.0000 0.5000 0.0000
Pa1 Pa 0.0000 0.5000 0.5000
Ta1 Ta 0.0000 0.0000 0.5000
N1 N 0.0000 0.0000 0.2257
N2 N 0.0165 0.5083 0.2207
```